# 1
VASP calculation (GGA-PBE) on a relaxed BeCuO5F4 crystal.

Lattice parameters (Å, degrees): 5.461 6.250 10.317 92.74 95.61 108.48
Each line ends with the local moment (μB).
Fractional coordinates of all 22 atoms:
F  0.797  0.097  0.344  0.02
Cu  0.000  0.000  0.000  0.64
O  0.143  0.664  0.881  -0.04
F  0.916  0.077  0.826  0.07
F  0.084  0.923  0.174  0.07
O  0.929  0.689  0.932  0.12
F  0.634  0.669  0.226  0.00
O  0.007  0.684  0.653  0.17
O  0.993  0.316  0.347  0.17
Be  0.098  0.206  0.732  0.00
F  0.949  0.242  0.607  0.06
F  0.203  0.903  0.656  0.02
O  0.343  0.839  0.896  -0.08
O  0.462  0.581  0.513  0.76
F  0.366  0.331  0.774  0.00
O  0.857  0.336  0.119  -0.04
O  0.538  0.419  0.487  0.76
O  0.657  0.161  0.104  -0.08
Be  0.902  0.794  0.268  0.00
Cu  0.000  0.500  0.500  0.60
F  0.051  0.758  0.393  0.06
O  0.071  0.311  0.068  0.12

Values from the calculation:
* formation energy without anion corrections: -0.91 eV per atom
* symmetry: No. 2



# 2
VASP calculation (GGA-PBE) on a relaxed Sr3La3DySe8 crystal.

Lattice parameters (Å, degrees): 8.633 8.635 8.765 119.52 90.00 119.99
Fractional coordinates of all 15 atoms:
Sr  0.500  0.500  0.000
Se  0.237  0.474  0.731
Se  0.748  0.497  0.745
Se  0.252  0.503  0.255
Se  0.243  0.006  0.269
Se  0.763  0.526  0.269
Dy  0.000  0.000  0.500
Sr  0.000  0.000  0.000
Se  0.763  0.006  0.269
Se  0.237  0.994  0.731
Sr  0.000  0.500  0.000
La  0.000  0.500  0.500
La  0.500  0.000  0.500
La  0.500  0.500  0.500
Se  0.757  0.994  0.731

Values from the calculation:
* formation energy without anion corrections: -2.00 eV per atom
* symmetry: No. 166



# 3
VASP calculation (GGA-PBE) on a relaxed MgPtRh2 crystal.

Lattice parameters (Å, degrees): 9.022 9.022 9.022 17.90 17.90 17.90
Each line ends with the local moment (μB).
Fractional coordinates of all 4 atoms:
Rh  0.501  0.501  0.501  0.06
Rh  0.999  0.999  0.999  0.06
Mg  0.250  0.250  0.250  0.00
Pt  0.750  0.750  0.750  0.01

Values from the calculation:
* symmetry: No. 166



| no. | energy (eV per atom) |
| --- | --- |
| 1 | -4.557 |
| 2 | -5.483 |
| 3 | -5.699 |